# LiPmHo2 GGA-PBE relaxed
# distance to the lowest polymorph of the same formula	4.0	kJ/mol of atoms
# size of the total moment	0.0	μB/cell
data_LiPmHo2
_space_group_name_H-M_alt 'R 3 m'
_space_group_IT_number 160
_space_group_name_Hall 'R 3 -2"'
_cell_length_a 3.5194
_cell_length_b 3.5194
_cell_length_c 33.6702
_cell_angle_alpha 90.00
_cell_angle_beta 90.00
_cell_angle_gamma 120.00
loop_
_atom_site_label
_atom_site_fract_x
_atom_site_fract_y
_atom_site_fract_z
_atom_site_occupancy
Li1 0.0000 0.0000 0.0000 1
Pm1 0.0000 0.0000 0.8333 1
Ho1 0.0000 0.0000 0.4133 1
Ho2 0.0000 0.0000 0.5868 1

=====

# PrCd2Ag2 GGA-PBE relaxed
# distance to the lowest polymorph of the same formula	6.3	kJ/mol of atoms
# size of the total moment	0.0	μB/cell
data_PrCd2Ag2
_space_group_name_H-M_alt 'P -1'
_space_group_IT_number 2
_cell_length_a 5.599
_cell_length_b 6.462
_cell_length_c 7.549
_cell_angle_alpha 92.38
_cell_angle_beta 107.34
_cell_angle_gamma 108.58
loop_
_space_group_symop_operation_xyz
'x,y,z'
'-x,-y,-z'
loop_
_atom_site_label
_atom_site_fract_x
_atom_site_fract_y
_atom_site_fract_z
_atom_site_occupancy
Pr1 0.080 0.207 0.243 1
Cd1 0.095 0.342 0.804 1
Cd2 0.479 0.121 0.677 1
Ag1 0.288 0.621 0.558 1
Ag2 0.496 0.215 0.046 1

=====

# CuAs4Au GGA-PBE relaxed
# size of the total moment	0.0	μB/cell
data_CuAs4Au
_space_group_name_H-M_alt 'F -4 3 m'
_space_group_IT_number 216
_space_group_name_Hall 'F -4 2 3'
_cell_length_a 7.792
_cell_length_b 7.792
_cell_length_c 7.792
_cell_angle_alpha 90.00
_cell_angle_beta 90.00
_cell_angle_gamma 90.00
loop_
_atom_site_label
_atom_site_fract_x
_atom_site_fract_y
_atom_site_fract_z
_atom_site_occupancy
Cu1 0.000 0.000 0.000 1
As1 0.127 0.127 0.627 1
Au1 0.250 0.250 0.250 1

=====

# Li3SnHg6 GGA-PBE relaxed
# size of the total moment	0.0	μB/cell
data_Li3SnHg6
_space_group_name_H-M_alt 'P 1 21/m 1'
_space_group_IT_number 11
_cell_length_a 8.548
_cell_length_b 4.961
_cell_length_c 10.597
_cell_angle_alpha 90.00
_cell_angle_beta 104.93
_cell_angle_gamma 90.00
loop_
_space_group_symop_operation_xyz
'x,y,z'
'-x,-y,-z'
'-x,y+1/2,-z'
'x,-y+1/2,z'
loop_
_atom_site_label
_atom_site_fract_x
_atom_site_fract_y
_atom_site_fract_z
_atom_site_occupancy
Li1 0.046 0.250 0.388 1
Li2 0.140 0.750 0.198 1
Li3 0.261 0.250 0.983 1
Sn1 0.448 0.250 0.585 1
Hg1 0.034 0.750 0.916 1
Hg2 0.131 0.250 0.698 1
Hg3 0.214 0.750 0.487 1
Hg4 0.318 0.250 0.269 1
Hg5 0.341 0.750 0.805 1
Hg6 0.426 0.750 0.103 1

=====

# CoPt2Pb2 GGA-PBE relaxed
# distance to the lowest polymorph of the same formula	0.0	kJ/mol of atoms
# size of the total moment	4.4	μB/cell
data_CoPt2Pb2
_space_group_name_H-M_alt 'P 4/m b m'
_space_group_IT_number 127
_space_group_name_Hall '-P 4 2ab'
_cell_length_a 6.793
_cell_length_b 6.793
_cell_length_c 4.450
_cell_angle_alpha 90.00
_cell_angle_beta 90.00
_cell_angle_gamma 90.00
loop_
_atom_site_label
_atom_site_fract_x
_atom_site_fract_y
_atom_site_fract_z
_atom_site_occupancy
Co1 0.000 0.000 0.000 1
Pt1 0.145 0.355 0.000 1
Pb1 0.171 0.671 0.500 1

=====

| no. | energy of formation (eV per atom) |
| --- | --- |
| 1 | 0.118 |
| 2 | -0.160 |
| 3 | 0.600 |
| 4 | -0.213 |
| 5 | 0.194 |